# 1
VASP calculation (GGA-PBE) on NdYHoTh2 after structural relaxation.

## Properties
D(E_F) ... 14.982 states/eV/cell
Formation enthalpy at 0 K ... 207 kJ/mol of formula units
Magnetization ... 0.00 μB/cell
Final energy ... -57.0 eV/cell

Cell: 8.5998 8.5998 6.6894 Å, 90.00 90.00 134.34°
With the nearest neighbours (Å) after each atom.
Element x y z (fractional)
Nd: 0.1507 0.8493 0.7500  1 Y 3.11, 4 Th 3.38
Nd: 0.8493 0.1507 0.2500  1 Y 3.11, 4 Th 3.38
Y: 0.3468 0.6532 0.7500  1 Nd 3.11, 4 Th 3.37
Y: 0.6532 0.3468 0.2500  1 Nd 3.11, 4 Th 3.37
Ho: 0.2824 0.7176 0.2500  4 Y 3.50-3.91, 2 Nd 3.50
Ho: 0.7176 0.2824 0.7500  4 Y 3.50-3.91, 2 Nd 3.50
Th: 0.2557 0.2557 0.0000  4 Th 3.26-3.41, 2 Y 3.37, 2 Nd 3.38
Th: 0.2557 0.2557 0.5000  4 Th 3.26-3.41, 2 Y 3.37, 2 Nd 3.38
Th: 0.7443 0.7443 0.0000  4 Th 3.26-3.41, 2 Y 3.37, 2 Nd 3.38
Th: 0.7443 0.7443 0.5000  4 Th 3.26-3.41, 2 Y 3.37, 2 Nd 3.38

# 2
VASP calculation (GGA-PBE) on Li2GeI4 after structural relaxation.

## Properties
Formation energy from raw total energies ... -0.61 eV per atom
Magnetization ... 0.00 μB/cell
Final energy ... -18.9 eV/cell

Cell: 8.5354 8.5354 8.5354 Å, 139.40 139.40 58.77°
With the nearest neighbours (Å) after each atom.
Element x y z (fractional)
Li: 0.1257 0.1257 0.0000  1 I 2.64
Li: 0.8743 0.8743 0.0000  1 I 2.64
Ge: 0.5000 0.5000 0.0000  6 I 2.93-2.96
I: 0.0000 0.5000 0.5000  2 Ge 2.96
I: 0.3033 0.3033 0.0000  1 Li 2.64, 1 Ge 2.93
I: 0.5000 0.0000 0.5000  2 Ge 2.96
I: 0.6967 0.6967 0.0000  1 Li 2.64, 1 Ge 2.93

# 3
VASP calculation (GGA-PBE) on YW4Se after structural relaxation.

## Properties
D(E_F) ... 5.500 states/eV/cell
Formation energy from raw total energies ... 0.53 eV per atom
Magnetization ... 0.00 μB/cell
Final energy ... -58.6 eV/cell

Cell: 5.4560 5.4560 5.4560 Å, 60.00 60.00 60.00°
With the nearest neighbours (Å) after each atom.
Element x y z (fractional)
Y: 0.0000 0.0000 0.0000  12 W 3.20, 4 Se 3.34
W: 0.3754 0.3754 0.3754  6 W 2.72-2.74
W: 0.3754 0.3754 0.8738  6 W 2.72-2.74
W: 0.3754 0.8738 0.3754  6 W 2.72-2.74
W: 0.8738 0.3754 0.3754  6 W 2.72-2.74
Se: 0.7500 0.7500 0.7500  12 W 3.20, 4 Y 3.34

# 4
VASP calculation (GGA-PBE) on ScSn2Os after structural relaxation.

## Properties
D(E_F) ... 2.617 states/eV/cell
Formation enthalpy at 0 K ... -23 kJ/mol of formula units
Magnetization ... 0.00 μB/cell
Final energy ... -25.8 eV/cell

Cell: 4.7776 4.7776 4.7776 Å, 60.00 60.00 60.00°
With the nearest neighbours (Å) after each atom.
Element x y z (fractional)
Sc: 0.0000 0.0000 0.0000  8 Sn 2.93
Sn: 0.2500 0.2500 0.2500  4 Os 2.93, 4 Sc 2.93
Sn: 0.7500 0.7500 0.7500  4 Os 2.93, 4 Sc 2.93
Os: 0.5000 0.5000 0.5000  8 Sn 2.93

# 5
VASP calculation (GGA-PBE) on In3CoP after structural relaxation.

## Properties
D(E_F) ... 4.318 states/eV/cell
Formation enthalpy at 0 K ... 196 kJ/mol of formula units
Magnetization ... 0.00 μB/cell
Final energy ... -18.7 eV/cell

Cell: 4.8996 4.8996 4.8996 Å, 90.00 90.00 90.00°
With the nearest neighbours (Å) after each atom.
Element x y z (fractional)
In: 0.0000 0.0000 0.5000  2 Co 2.45
In: 0.0000 0.5000 0.0000  2 Co 2.45
In: 0.5000 0.0000 0.0000  2 Co 2.45
Co: 0.0000 0.0000 0.0000  6 In 2.45
P: 0.5000 0.5000 0.5000  12 In 3.46

# 6
VASP calculation (GGA-PBE) on Ba2TiReTc after structural relaxation.

## Properties
D(E_F) ... 8.185 states/eV/cell
Formation enthalpy at 0 K ... 736 kJ/mol of formula units
Magnetization ... 2.79 μB/cell
Final energy ... -26.9 eV/cell

Cell: 5.9424 5.9424 4.5957 Å, 90.00 90.00 90.00°
With the nearest neighbours (Å) after each atom.
Element x y z (fractional)
Ba: 0.0000 0.5000 0.0000  2 Tc 2.97
Ba: 0.5000 0.0000 0.0000  2 Tc 2.97
Ti: 0.0000 0.0000 0.5000  2 Tc 2.30
Re: 0.5000 0.5000 0.5000  8 Ba 3.76, 4 Ti 4.20
Tc: 0.0000 0.0000 0.0000  2 Ti 2.30

Question: Which formula does entry 5 have?
Answer: In3CoP

Question: What is the formula in the fourth record?
Answer: ScSn2Os

Question: Which formula does entry 3 have?
Answer: YW4Se